This record from Alexandria describes a relaxed structure of Sc2NbCrFe. The functional is PBE.

```
Sc2NbCrFe
1.0
4.990 0.000 0.000
0.000 4.990 0.000
0.000 0.000 4.306
Sc Nb Cr Fe
2 1 1 1
direct
0.000 0.500 0.000
0.500 0.000 0.000
0.000 0.000 0.000
0.500 0.500 0.500
0.000 0.000 0.500
```

Summary:
- ΔH_f (0 K): 7.24 eV per formula unit
- Space group: No. 123


This record from Alexandria describes a relaxed structure of NbCrFeSi. The functional is PBE.

```
NbCrFeSi
1.0
0.000 2.955 2.955
2.955 0.000 2.955
2.955 2.955 0.000
Nb Cr Fe Si
1 1 1 1
direct
0.000 0.000 0.000
0.250 0.250 0.250
0.750 0.750 0.750
0.500 0.500 0.500
```

Summary:
- Space group: No. 216
- E_form (uncorrected): -0.2345 eV per atom


This record from Alexandria describes a relaxed structure of NbCrFeSn. The functional is PBE.

```
NbCrFeSn
1.0
0.000 3.107 3.107
3.107 0.000 3.107
3.107 3.107 0.000
Nb Cr Fe Sn
1 1 1 1
direct
0.000 0.000 0.000
0.250 0.250 0.250
0.750 0.750 0.750
0.500 0.500 0.500
```

Summary:
- ΔH_f (0 K): 0.29 eV per formula unit
- Space group: No. 216


This record from Alexandria describes a relaxed structure of TiNbCrFe. The functional is PBE.

```
TiNbCrFe
1.0
0.000 3.034 3.034
3.034 0.000 3.034
3.034 3.034 0.000
Ti Nb Cr Fe
1 1 1 1
direct
0.000 0.000 0.000
0.500 0.500 0.500
0.750 0.750 0.750
0.250 0.250 0.250
```

Summary:
- ΔH_f (0 K): -0.47 eV per formula unit
- Space group: No. 216


This record from Alexandria describes a relaxed structure of NbVCrFe. The functional is PBE.

```
NbVCrFe
1.0
0.000 2.986 2.986
2.986 0.000 2.986
2.986 2.986 0.000
Nb V Cr Fe
1 1 1 1
direct
0.000 0.000 0.000
0.500 0.500 0.500
0.750 0.750 0.750
0.250 0.250 0.250
```

Summary:
- ΔH_f (0 K): -0.20 eV per formula unit
- Space group: No. 216


This record from Alexandria describes a relaxed structure of NbCrFeW. The functional is PBE.

```
NbCrFeW
1.0
0.000 3.050 3.050
3.050 0.000 3.050
3.050 3.050 0.000
Nb Cr Fe W
1 1 1 1
direct
0.000 0.000 0.000
0.750 0.750 0.750
0.250 0.250 0.250
0.500 0.500 0.500
```

Summary:
- ΔH_f (0 K): 0.24 eV per formula unit
- Space group: No. 216


This record from Alexandria describes a relaxed structure of ZrNbCrFe. The functional is PBE.

```
ZrNbCrFe
1.0
0.000 3.137 3.137
3.137 0.000 3.137
3.137 3.137 0.000
Zr Nb Cr Fe
1 1 1 1
direct
0.000 0.000 0.000
0.500 0.500 0.500
0.750 0.750 0.750
0.250 0.250 0.250
```

Summary:
- ΔH_f (0 K): 0.07 eV per formula unit
- Space group: No. 216


This record from Alexandria describes a relaxed structure of CrFe3Ni7. The functional is PBE.

```
CrFe3Ni7
1.0
4.264 -4.258 0.000
4.264 4.258 0.000
-2.156 0.000 3.727
Cr Fe Ni
1 3 7
direct
0.000 0.000 0.000
0.269 0.731 0.500
0.500 0.500 0.000
0.731 0.269 0.500
0.000 0.000 0.500
0.095 0.563 0.828
0.321 0.321 0.326
0.437 0.905 0.172
0.563 0.095 0.828
0.679 0.679 0.674
0.905 0.437 0.172
```

Summary:
- ΔH_f (0 K): 3.67 eV per formula unit
- Space group: No. 12